The following is a PBE calculation of a geometry-optimized ZrAs structure, from OQMD via LeMat-Bulk.

Results
Final energy: -0.2587 Ha/atom
Magnetization: 0.01 μB per cell

Unit cell a=4.2899 b=4.2899 c=4.2899 alpha=60.00 beta=60.00 gamma=60.00
With the nearest neighbours (Å) after each atom.
Fractional positions:
As 0.0000 0.0000 0.0000  4 Zr 2.63
Zr 0.2500 0.2500 0.2500  4 As 2.63



The following is a PBE calculation of a geometry-optimized Y2Mo4N structure, from OQMD via LeMat-Bulk.

Results
Final energy: -0.3236 Ha/atom
Magnetization: 0.00 μB per cell

Unit cell a=6.1538 b=6.1538 c=6.1538 alpha=127.48 beta=127.48 gamma=77.47
With the nearest neighbours (Å) after each atom.
Fractional positions:
Mo 0.2640 0.7360 0.0000  1 N 2.03
Mo 0.7360 0.7360 0.4720  1 N 2.03
Mo 0.7360 0.2640 0.0000  1 N 2.03
Mo 0.2640 0.2640 0.5280  1 N 2.03
N 0.0000 0.0000 0.0000  4 Mo 2.03
Y 0.2500 0.7500 0.5000  8 Mo 3.08
Y 0.7500 0.2500 0.5000  8 Mo 3.08



The following is a PBE calculation of a geometry-optimized Zr7As4 structure, from OQMD via LeMat-Bulk.

Results
Final energy: -0.2989 Ha/atom
Magnetization: 0.02 μB per cell

Unit cell a=8.3680 b=8.3680 c=15.1213 alpha=104.38 beta=104.38 gamma=25.57
With the nearest neighbours (Å) after each atom.
Fractional positions:
Zr 0.0031 0.0031 0.6643  5 As 2.73-2.80
Zr 0.8039 0.8039 0.6915  4 As 2.71-2.95
Zr 0.8214 0.8214 0.4572  5 As 2.82-3.07
Zr 0.0000 0.0000 0.0000  4 As 2.71-2.94
Zr 0.2062 0.2062 0.7963  5 As 2.67-2.81
Zr 0.5697 0.5697 0.1685  4 As 2.80-2.85, 2 Zr 3.12
Zr 0.1786 0.1786 0.5428  5 As 2.82-3.07
Zr 0.1961 0.1961 0.3085  4 As 2.71-2.95
Zr 0.4303 0.4303 0.8315  4 As 2.80-2.85, 2 Zr 3.12
Zr 0.6617 0.6617 0.9677  4 As 2.78-2.79
Zr 0.3383 0.3383 0.0323  4 As 2.78-2.79
Zr 0.5000 0.5000 0.5000  4 As 2.78-2.87, 4 Zr 3.09
Zr 0.9969 0.9969 0.3357  5 As 2.73-2.80
Zr 0.7938 0.7938 0.2037  5 As 2.67-2.81
As 0.6297 0.6297 0.6601  8 Zr 2.76-2.82
As 0.6270 0.6270 0.3988  7 Zr 2.71-2.87
As 0.1772 0.1772 0.1091  8 Zr 2.78-2.95
As 0.3703 0.3703 0.3399  8 Zr 2.76-2.82
As 0.3730 0.3730 0.6012  7 Zr 2.71-2.87
As 0.0625 0.0625 0.8501  7 Zr 2.67-2.80
As 0.9375 0.9375 0.1499  7 Zr 2.67-2.80
As 0.8228 0.8228 0.8909  8 Zr 2.78-2.95



The following is a PBE calculation of a geometry-optimized Ta8B11 structure, from OQMD via LeMat-Bulk.

Results
Final energy: -0.3529 Ha/atom
Magnetization: 0.00 μB per cell

Unit cell a=10.3402 b=10.3402 c=10.3402 alpha=161.79 beta=144.75 gamma=39.95
With the nearest neighbours (Å) after each atom.
Fractional positions:
B 0.6624 0.1624 0.5000  2 B 1.83
B 0.1649 0.1649 0.0000  2 B 1.85
B 0.0875 0.8354 0.2520  2 B 1.82-1.86
B 0.2722 0.0224 0.2498  2 B 1.78-1.79
B 0.5834 0.8354 0.7480  2 B 1.82-1.86
B 0.8640 0.1137 0.7502  3 B 1.78-1.85
B 0.9776 0.9776 0.0000  3 B 1.78-1.79
B 0.3844 0.8844 0.5000  2 B 1.82
B 0.7725 0.0224 0.7502  2 B 1.78-1.79
B 0.3635 0.1137 0.2498  3 B 1.78-1.85
B 0.8859 0.8859 0.0000  3 B 1.78-1.86
Ta 0.0688 0.5688 0.5000  12 B 2.41-2.48
Ta 0.2960 0.2960 0.0000  7 B 2.37-2.55
Ta 0.9512 0.7023 0.2489  7 B 2.37-2.59
Ta 0.6769 0.4315 0.2454  10 B 2.41-2.48
Ta 0.5662 0.5662 0.0000  10 B 2.42-2.48
Ta 0.1861 0.4315 0.7546  10 B 2.41-2.48
Ta 0.4534 0.7023 0.7511  7 B 2.37-2.59
Ta 0.7964 0.2964 0.5000  7 B 2.39-2.60



The following is a PBE calculation of a geometry-optimized PrSiAs3Pt6 structure, from OQMD via LeMat-Bulk.

Results
Final energy: -0.2226 Ha/atom
Magnetization: 0.00 μB per cell

Unit cell a=7.3142 b=7.3142 c=4.1670 alpha=90.00 beta=90.00 gamma=120.00
With the nearest neighbours (Å) after each atom.
Fractional positions:
Pt 0.5240 0.4760 0.0000  1 Si 2.42
Pt 0.1981 0.3963 0.5000  2 As 2.48, 2 Si 2.70
Pt 0.6037 0.8019 0.5000  2 As 2.48, 2 Si 2.70
Pt 0.1981 0.8019 0.5000  2 As 2.48, 2 Si 2.70
Pt 0.5240 0.0480 0.0000  1 Si 2.42
Pt 0.9520 0.4760 0.0000  1 Si 2.42
As 0.3872 0.1936 0.5000  6 Pt 2.48-2.75
As 0.8064 0.1936 0.5000  6 Pt 2.48-2.75
As 0.8064 0.6128 0.5000  6 Pt 2.48-2.75
Pr 0.0000 0.0000 0.0000  6 As 3.22, 6 Pt 3.26
Si 0.3333 0.6667 0.0000  9 Pt 2.42-2.70



The following is a PBE calculation of a geometry-optimized MgBeReTc structure, from OQMD via LeMat-Bulk.

Results
Energy above the lowest structure with this stoichiometry: 0.0 meV/atom
Final energy: -0.2562 Ha/atom
Magnetization: 0.00 μB per cell

Unit cell a=4.2621 b=4.2621 c=4.2621 alpha=60.00 beta=60.00 gamma=60.00
With the nearest neighbours (Å) after each atom.
Fractional positions:
Mg 0.7500 0.7500 0.7500  4 Be 2.61, 4 Tc 2.61
Re 0.2500 0.2500 0.2500  4 Tc 2.61, 4 Be 2.61
Be 0.5000 0.5000 0.5000  4 Mg 2.61, 4 Re 2.61
Tc 0.0000 0.0000 0.0000  4 Re 2.61, 4 Mg 2.61



The following is a PBE calculation of a geometry-optimized BeCd2Pb structure, from OQMD via LeMat-Bulk.

Results
Final energy: -0.0666 Ha/atom

Unit cell a=4.9745 b=4.9745 c=4.9745 alpha=60.00 beta=60.00 gamma=60.00
With the nearest neighbours (Å) after each atom.
Fractional positions:
Pb 0.5000 0.5000 0.5000  4 Be 3.05, 4 Cd 3.05
Cd 0.7500 0.7500 0.7500  4 Pb 3.05, 4 Cd 3.05
Cd 0.0000 0.0000 0.0000  4 Be 3.05, 4 Cd 3.05
Be 0.2500 0.2500 0.2500  4 Pb 3.05, 4 Cd 3.05



The following is a PBE calculation of a geometry-optimized KNaPaS3 structure, from OQMD via LeMat-Bulk.

Results
Final energy: -0.1987 Ha/atom
Magnetization: 2.00 μB per cell

Unit cell a=7.5775 b=7.5775 c=10.9997 alpha=90.00 beta=90.00 gamma=147.71
With the nearest neighbours (Å) after each atom.
Fractional positions:
K 0.7070 0.2930 0.2500  4 S 3.20-3.24
K 0.2930 0.7070 0.7500  4 S 3.20-3.24
Pa 0.0000 0.0000 0.5000  6 S 2.76-2.82
Pa 0.0000 0.0000 0.0000  6 S 2.76-2.82
S 0.6208 0.3792 0.9780  1 Na 2.61, 2 Pa 2.76
S 0.6208 0.3792 0.5220  1 Na 2.61, 2 Pa 2.76
S 0.0414 0.9586 0.2500  2 Na 2.66, 2 Pa 2.82
S 0.3792 0.6208 0.0220  1 Na 2.61, 2 Pa 2.76
S 0.9586 0.0414 0.7500  2 Na 2.66, 2 Pa 2.82
S 0.3792 0.6208 0.4780  1 Na 2.61, 2 Pa 2.76
Na 0.4300 0.5700 0.2500  4 S 2.61-2.66
Na 0.5700 0.4300 0.7500  4 S 2.61-2.66